Computed, not measured: crystalline ScZnSe2 at its relaxed geometry at the PBE level of DFT.

Cell: 4.695 4.695 3.459 Å, 90.00 90.00 90.00°
Space group P4/mmm (No. 123)
Inequivalent atoms, fractional coordinates:
Sc1 0.000 0.000 0.000 x1
Zn1 0.500 0.500 0.000 x1
Se1 0.000 0.500 0.500 x2

Summary:
Total DFT energy (no corrections) ... -0.3220 Ry/atom
Energy relative to the elements, uncorrected ... -0.7369 eV per atom
DOS at the Fermi energy ... 2.0 states/eV/f.u.
Total magnetic moment ... 0.00 μB per cell